# 1
Computed, not measured: a relaxed structure of LiTm2In4 at the PBE level of DFT.

Results
* DFT formation energy: -27.02 kJ per mole of atoms

Geometry as CIF:
```
data_LiTm2In4
_symmetry_space_group_name_H-M 'I 4/m m m'
_symmetry_Int_Tables_number 139
_symmetry_space_group_name_Hall '-I 4 2'
_cell_length_a 7.140
_cell_length_b 7.140
_cell_length_c 7.316
_cell_angle_alpha 90.00
_cell_angle_beta 90.00
_cell_angle_gamma 90.00
loop_
_atom_site_label
_atom_site_type_symbol
_atom_site_fract_x
_atom_site_fract_y
_atom_site_fract_z
Li1 Li 0.000 0.000 0.000
Tm1 Tm 0.000 0.500 0.000
In1 In 0.250 0.250 0.250
```

***

# 2
Computed, not measured: a relaxed structure of LiTmIn5 at the PBE level of DFT.

Results
* DFT formation energy: -19.11 kJ per mole of atoms

Geometry as CIF:
```
data_LiTmIn5
_symmetry_space_group_name_H-M 'P 4/m m m'
_symmetry_Int_Tables_number 123
_symmetry_space_group_name_Hall '-P 4 2'
_cell_length_a 4.552
_cell_length_b 4.552
_cell_length_c 8.165
_cell_angle_alpha 90.00
_cell_angle_beta 90.00
_cell_angle_gamma 90.00
loop_
_atom_site_label
_atom_site_type_symbol
_atom_site_fract_x
_atom_site_fract_y
_atom_site_fract_z
Li1 Li 0.000 0.000 0.000
Tm1 Tm 0.500 0.500 0.500
In1 In 0.000 0.000 0.500
In2 In 0.000 0.500 0.203
```

***

# 3
Computed, not measured: a relaxed structure of LiTm6In5 at the PBE level of DFT.

Results
* DFT formation energy: -37.49 kJ per mole of atoms

Geometry as CIF:
```
data_LiTm6In5
_symmetry_space_group_name_H-M 'C m m m'
_symmetry_Int_Tables_number 65
_symmetry_space_group_name_Hall '-C 2 2'
_cell_length_a 5.253
_cell_length_b 15.830
_cell_length_c 7.328
_cell_angle_alpha 90.00
_cell_angle_beta 90.00
_cell_angle_gamma 90.00
loop_
_atom_site_label
_atom_site_type_symbol
_atom_site_fract_x
_atom_site_fract_y
_atom_site_fract_z
Li1 Li 0.000 0.000 0.000
Tm1 Tm 0.000 0.167 0.247
Tm2 Tm 0.000 0.500 0.252
In1 In 0.000 0.000 0.500
In2 In 0.000 0.333 0.500
In3 In 0.000 0.342 0.000
```

***

# 4
Computed, not measured: a relaxed structure of Li2Tm5In5 at the PBE level of DFT.

Results
* DFT formation energy: -30.16 kJ per mole of atoms

Geometry as CIF:
```
data_Li2Tm5In5
_symmetry_space_group_name_H-M 'C 1 2/m 1'
_symmetry_Int_Tables_number 12
_symmetry_space_group_name_Hall '-C 2y'
_cell_length_a 8.605
_cell_length_b 5.014
_cell_length_c 14.262
_cell_angle_alpha 90.00
_cell_angle_beta 101.65
_cell_angle_gamma 90.00
loop_
_atom_site_label
_atom_site_type_symbol
_atom_site_fract_x
_atom_site_fract_y
_atom_site_fract_z
Li1 Li 0.067 0.000 0.213
Tm1 Tm 0.000 0.500 0.500
Tm2 Tm 0.192 0.500 0.083
Tm3 Tm 0.228 0.000 0.672
In1 In 0.000 0.000 0.000
In2 In 0.102 0.500 0.794
In3 In 0.139 0.000 0.423
```

***

# 5
Computed, not measured: a relaxed structure of LiTmIn at the PBE level of DFT.

Results
* DFT formation energy: -23.41 kJ per mole of atoms

Geometry as CIF:
```
data_LiTmIn
_symmetry_space_group_name_H-M 'C m c m'
_symmetry_Int_Tables_number 63
_symmetry_space_group_name_Hall '-C 2c 2'
_cell_length_a 4.955
_cell_length_b 8.610
_cell_length_c 6.201
_cell_angle_alpha 90.00
_cell_angle_beta 90.00
_cell_angle_gamma 90.00
loop_
_atom_site_label
_atom_site_type_symbol
_atom_site_fract_x
_atom_site_fract_y
_atom_site_fract_z
Li1 Li 0.000 0.165 0.250
Tm1 Tm 0.000 0.167 0.750
In1 In 0.000 0.500 0.000
```

***

# 6
Computed, not measured: a relaxed structure of LiTm5In3 at the PBE level of DFT.

Results
* DFT formation energy: -32.35 kJ per mole of atoms

Geometry as CIF:
```
data_LiTm5In3
_symmetry_space_group_name_H-M 'P 63/m c m'
_symmetry_Int_Tables_number 193
_symmetry_space_group_name_Hall '-P 6c 2'
_cell_length_a 9.1297
_cell_length_b 9.1297
_cell_length_c 6.5613
_cell_angle_alpha 90.00
_cell_angle_beta 90.00
_cell_angle_gamma 120.00
loop_
_atom_site_label
_atom_site_type_symbol
_atom_site_fract_x
_atom_site_fract_y
_atom_site_fract_z
Li1 Li 0.0000 0.0000 0.0000
Tm1 Tm 0.0000 0.3059 0.2500
Tm2 Tm 0.3333 0.6667 0.0000
In1 In 0.0000 0.3548 0.7500
```

***

# 7
Computed, not measured: a relaxed structure of LiTmIn2 at the PBE level of DFT.

Results
* ΔE to the lowest computed polymorph: 0.05 kcal/mol of atoms
* DFT formation energy: -36.43 kJ per mole of atoms

Geometry as CIF:
```
data_LiTmIn2
_symmetry_space_group_name_H-M 'P 4/m m m'
_symmetry_Int_Tables_number 123
_symmetry_space_group_name_Hall '-P 4 2'
_cell_length_a 3.519
_cell_length_b 3.519
_cell_length_c 7.274
_cell_angle_alpha 90.00
_cell_angle_beta 90.00
_cell_angle_gamma 90.00
loop_
_atom_site_label
_atom_site_type_symbol
_atom_site_fract_x
_atom_site_fract_y
_atom_site_fract_z
Li1 Li 0.000 0.000 0.000
Tm1 Tm 0.000 0.000 0.500
In1 In 0.500 0.500 0.215
```

***

# 8
Computed, not measured: a relaxed structure of Li2Tm3In6 at the PBE level of DFT.

Results
* DFT formation energy: -24.43 kJ per mole of atoms

Geometry as CIF:
```
data_Li2Tm3In6
_symmetry_space_group_name_H-M 'I 4/m m m'
_symmetry_Int_Tables_number 139
_symmetry_space_group_name_Hall '-I 4 2'
_cell_length_a 4.514
_cell_length_b 4.514
_cell_length_c 25.589
_cell_angle_alpha 90.00
_cell_angle_beta 90.00
_cell_angle_gamma 90.00
loop_
_atom_site_label
_atom_site_type_symbol
_atom_site_fract_x
_atom_site_fract_y
_atom_site_fract_z
Li1 Li 0.000 0.000 0.044
Tm1 Tm 0.000 0.000 0.305
Tm2 Tm 0.000 0.000 0.500
In1 In 0.000 0.000 0.186
In2 In 0.000 0.500 0.099
```

***

# 9
Computed, not measured: a relaxed structure of Li4Tm9In11 at the PBE level of DFT.

Results
* DFT formation energy: -33.64 kJ per mole of atoms

Geometry as CIF:
```
data_Li4Tm9In11
_symmetry_space_group_name_H-M 'C m m m'
_symmetry_Int_Tables_number 65
_symmetry_space_group_name_Hall '-C 2 2'
_cell_length_a 15.486
_cell_length_b 21.688
_cell_length_c 3.401
_cell_angle_alpha 90.00
_cell_angle_beta 90.00
_cell_angle_gamma 90.00
loop_
_atom_site_label
_atom_site_type_symbol
_atom_site_fract_x
_atom_site_fract_y
_atom_site_fract_z
Li1 Li 0.145 0.101 0.000
Tm1 Tm 0.000 0.000 0.000
Tm2 Tm 0.109 0.248 0.000
Tm3 Tm 0.143 0.423 0.000
In1 In 0.000 0.138 0.500
In2 In 0.000 0.347 0.500
In3 In 0.000 0.500 0.500
In4 In 0.202 0.000 0.500
In5 In 0.249 0.175 0.500
```

***

# 10
Computed, not measured: a relaxed structure of Li4TmIn7 at the PBE level of DFT.

Results
* DFT formation energy: -8.85 kJ per mole of atoms

Geometry as CIF:
```
data_Li4TmIn7
_symmetry_space_group_name_H-M 'C 1 2/m 1'
_symmetry_Int_Tables_number 12
_symmetry_space_group_name_Hall '-C 2y'
_cell_length_a 11.806
_cell_length_b 5.666
_cell_length_c 10.399
_cell_angle_alpha 90.00
_cell_angle_beta 124.02
_cell_angle_gamma 90.00
loop_
_atom_site_label
_atom_site_type_symbol
_atom_site_fract_x
_atom_site_fract_y
_atom_site_fract_z
Li1 Li 0.067 0.000 0.272
Li2 Li 0.208 0.000 0.817
Tm1 Tm 0.000 0.500 0.500
In1 In 0.000 0.000 0.500
In2 In 0.051 0.500 0.883
In3 In 0.169 0.000 0.083
In4 In 0.218 0.500 0.413
```

***

# 11
Computed, not measured: a relaxed structure of Li2Tm3In7 at the PBE level of DFT.

Results
* DFT formation energy: -24.51 kJ per mole of atoms

Geometry as CIF:
```
data_Li2Tm3In7
_symmetry_space_group_name_H-M 'C m m m'
_symmetry_Int_Tables_number 65
_symmetry_space_group_name_Hall '-C 2 2'
_cell_length_a 4.569
_cell_length_b 29.468
_cell_length_c 4.232
_cell_angle_alpha 90.00
_cell_angle_beta 90.00
_cell_angle_gamma 90.00
loop_
_atom_site_label
_atom_site_type_symbol
_atom_site_fract_x
_atom_site_fract_y
_atom_site_fract_z
Li1 Li 0.000 0.138 0.000
Tm1 Tm 0.000 0.325 0.500
Tm2 Tm 0.000 0.500 0.500
In1 In 0.000 0.000 0.000
In2 In 0.000 0.082 0.500
In3 In 0.000 0.223 0.000
In4 In 0.000 0.414 0.000
```

***

# 12
Computed, not measured: a relaxed structure of LiTm4In2 at the PBE level of DFT.

Results
* ΔE to the lowest computed polymorph: 0.00 kcal/mol of atoms
* DFT formation energy: -17.36 kJ per mole of atoms

Geometry as CIF:
```
data_LiTm4In2
_symmetry_space_group_name_H-M 'R -3 m'
_symmetry_Int_Tables_number 166
_symmetry_space_group_name_Hall '-R 3 2"'
_cell_length_a 5.1767
_cell_length_b 5.1767
_cell_length_c 24.8304
_cell_angle_alpha 90.00
_cell_angle_beta 90.00
_cell_angle_gamma 120.00
loop_
_atom_site_label
_atom_site_type_symbol
_atom_site_fract_x
_atom_site_fract_y
_atom_site_fract_z
Li1 Li 0.0000 0.0000 0.0000
Tm1 Tm 0.0000 0.0000 0.1297
Tm2 Tm 0.0000 0.0000 0.3829
In1 In 0.0000 0.0000 0.2554
```

***

# 13
Computed, not measured: a relaxed structure of Li2TmIn at the PBE level of DFT.

Results
* ΔE to the lowest computed polymorph: 0.00 kcal/mol of atoms
* DFT formation energy: -25.00 kJ per mole of atoms

Geometry as CIF:
```
data_Li2TmIn
_symmetry_space_group_name_H-M 'F m -3 m'
_symmetry_Int_Tables_number 225
_symmetry_space_group_name_Hall '-F 4 2 3'
_cell_length_a 6.797
_cell_length_b 6.797
_cell_length_c 6.797
_cell_angle_alpha 90.00
_cell_angle_beta 90.00
_cell_angle_gamma 90.00
loop_
_atom_site_label
_atom_site_type_symbol
_atom_site_fract_x
_atom_site_fract_y
_atom_site_fract_z
Li1 Li 0.250 0.250 0.250
Tm1 Tm 0.000 0.000 0.000
In1 In 0.000 0.000 0.500
```

***

# 14
Computed, not measured: a relaxed structure of LiTmIn2 at the PBE level of DFT.

Results
* ΔE to the lowest computed polymorph: 0.00 kcal/mol of atoms
* DFT formation energy: -36.62 kJ per mole of atoms

Geometry as CIF:
```
data_LiTmIn2
_symmetry_space_group_name_H-M 'P 4/m m m'
_symmetry_Int_Tables_number 123
_symmetry_space_group_name_Hall '-P 4 2'
_cell_length_a 4.959
_cell_length_b 4.959
_cell_length_c 3.809
_cell_angle_alpha 90.00
_cell_angle_beta 90.00
_cell_angle_gamma 90.00
loop_
_atom_site_label
_atom_site_type_symbol
_atom_site_fract_x
_atom_site_fract_y
_atom_site_fract_z
Li1 Li 0.000 0.000 0.000
Tm1 Tm 0.500 0.500 0.000
In1 In 0.000 0.500 0.500
```

***

# 15
Computed, not measured: a relaxed structure of LiTm3In4 at the PBE level of DFT.

Results
* DFT formation energy: -38.84 kJ per mole of atoms

Geometry as CIF:
```
data_LiTm3In4
_symmetry_space_group_name_H-M 'P 4/m m m'
_symmetry_Int_Tables_number 123
_symmetry_space_group_name_Hall '-P 4 2'
_cell_length_a 3.457
_cell_length_b 3.457
_cell_length_c 16.036
_cell_angle_alpha 90.00
_cell_angle_beta 90.00
_cell_angle_gamma 90.00
loop_
_atom_site_label
_atom_site_type_symbol
_atom_site_fract_x
_atom_site_fract_y
_atom_site_fract_z
Li1 Li 0.000 0.000 0.000
Tm1 Tm 0.000 0.000 0.232
Tm2 Tm 0.000 0.000 0.500
In1 In 0.500 0.500 0.098
In2 In 0.500 0.500 0.365
```

***

# 16
Computed, not measured: a relaxed structure of Li4TmIn5 at the PBE level of DFT.

Results
* DFT formation energy: -29.94 kJ per mole of atoms

Geometry as CIF:
```
data_Li4TmIn5
_symmetry_space_group_name_H-M 'P 4/m m m'
_symmetry_Int_Tables_number 123
_symmetry_space_group_name_Hall '-P 4 2'
_cell_length_a 3.513
_cell_length_b 3.513
_cell_length_c 16.874
_cell_angle_alpha 90.00
_cell_angle_beta 90.00
_cell_angle_gamma 90.00
loop_
_atom_site_label
_atom_site_type_symbol
_atom_site_fract_x
_atom_site_fract_y
_atom_site_fract_z
Li1 Li 0.000 0.000 0.095
Li2 Li 0.000 0.000 0.285
Tm1 Tm 0.000 0.000 0.500
In1 In 0.500 0.500 0.000
In2 In 0.500 0.500 0.190
In3 In 0.500 0.500 0.378
```

***

# 17
Computed, not measured: a relaxed structure of Li2Tm2In3 at the PBE level of DFT.

Results
* DFT formation energy: -30.74 kJ per mole of atoms

Geometry as CIF:
```
data_Li2Tm2In3
_symmetry_space_group_name_H-M 'C m m m'
_symmetry_Int_Tables_number 65
_symmetry_space_group_name_Hall '-C 2 2'
_cell_length_a 4.513
_cell_length_b 21.819
_cell_length_c 3.244
_cell_angle_alpha 90.00
_cell_angle_beta 90.00
_cell_angle_gamma 90.00
loop_
_atom_site_label
_atom_site_type_symbol
_atom_site_fract_x
_atom_site_fract_y
_atom_site_fract_z
Li1 Li 0.000 0.219 0.000
Tm1 Tm 0.000 0.078 0.000
In1 In 0.000 0.340 0.500
In2 In 0.000 0.500 0.500
```

***

# 18
Computed, not measured: a relaxed structure of Li3TmIn3 at the PBE level of DFT.

Results
* DFT formation energy: 27.18 kJ per mole of atoms

Geometry as CIF:
```
data_Li3TmIn3
_symmetry_space_group_name_H-M 'P m -3 n'
_symmetry_Int_Tables_number 223
_symmetry_space_group_name_Hall '-P 4n 2 3'
_cell_length_a 7.055
_cell_length_b 7.055
_cell_length_c 7.055
_cell_angle_alpha 90.00
_cell_angle_beta 90.00
_cell_angle_gamma 90.00
loop_
_atom_site_label
_atom_site_type_symbol
_atom_site_fract_x
_atom_site_fract_y
_atom_site_fract_z
Li1 Li 0.000 0.250 0.500
Tm1 Tm 0.000 0.000 0.000
In1 In 0.000 0.500 0.250
```

***

# 19
Computed, not measured: a relaxed structure of LiTm12In6 at the PBE level of DFT.

Results
* DFT formation energy: 10.37 kJ per mole of atoms

Geometry as CIF:
```
data_LiTm12In6
_symmetry_space_group_name_H-M 'R -3'
_symmetry_Int_Tables_number 148
_symmetry_space_group_name_Hall '-R 3'
_cell_length_a 13.3783
_cell_length_b 13.3783
_cell_length_c 11.9305
_cell_angle_alpha 90.00
_cell_angle_beta 90.00
_cell_angle_gamma 120.00
loop_
_atom_site_label
_atom_site_type_symbol
_atom_site_fract_x
_atom_site_fract_y
_atom_site_fract_z
Li1 Li 0.0000 0.0000 0.0000
Tm1 Tm 0.0349 0.8275 0.3882
Tm2 Tm 0.0570 0.8463 0.8893
In1 In 0.0490 0.7787 0.6445
```

***

# 20
Computed, not measured: a relaxed structure of LiTmIn at the PBE level of DFT.

Results
* DFT formation energy: 2.37 kJ per mole of atoms

Geometry as CIF:
```
data_LiTmIn
_symmetry_space_group_name_H-M 'P 1 2/m 1'
_symmetry_Int_Tables_number 10
_symmetry_space_group_name_Hall '-P 2y'
_cell_length_a 4.474
_cell_length_b 3.547
_cell_length_c 5.185
_cell_angle_alpha 90.00
_cell_angle_beta 90.57
_cell_angle_gamma 90.00
loop_
_atom_site_label
_atom_site_type_symbol
_atom_site_fract_x
_atom_site_fract_y
_atom_site_fract_z
Li1 Li 0.000 0.000 0.000
Tm1 Tm 0.500 0.000 0.500
In1 In 0.500 0.500 0.000
```

***

no.,DOS at the Fermi energy (states/eV/cell),total magnetization (Bohr magnetons per cell)
1,6.95,0.000
2,4.16,0.000
3,15.12,0.000
4,20.64,0.000
5,5.93,0.000
6,10.83,0.000
7,1.56,0.207
8,10.10,0.000
9,29.27,0.269
10,10.27,0.000
11,12.07,0.000
12,22.95,0.018
13,6.05,0.000
14,1.72,0.000
15,3.18,0.284
16,3.36,0.228
17,5.98,0.023
18,7.06,0.000
19,63.70,0.002
20,3.20,0.001